Material: Pr3AlHg2PdAu2
Method: DFT, PBE
State: relaxed

The total energy comes out at -36.73 eV per cell. As for the space group: Amm2.

Lattice parameters (Å, degrees): 4.0350 7.9068 7.9068 121.16 90.00 90.00
Closest atoms and distances in Å follow each position.
Sites, in units of the cell vectors:
Au  0.5000  0.6728  0.3593  1 Al 2.85, 2 Hg 3.07-3.11, 4 Pr 3.08-3.09
Au  0.5000  0.3593  0.6728  1 Al 2.85, 2 Hg 3.07-3.11, 4 Pr 3.08-3.09
Hg  0.5000  0.2506  0.9984  2 Pd 2.96, 2 Au 3.07-3.11
Hg  0.5000  0.9984  0.2506  2 Pd 2.96, 2 Au 3.07-3.11
Pr  0.0000  0.3991  0.3991  4 Au 3.09, 4 Hg 3.41, 2 Al 3.42, 1 Pd 3.43
Pr  0.0000  0.0086  0.5985  1 Pd 3.07, 4 Au 3.08-3.23, 4 Hg 3.38-3.39
Pr  0.0000  0.5985  0.0086  1 Pd 3.07, 4 Au 3.08-3.23, 4 Hg 3.38-3.39
Pd  0.0000  0.9572  0.9572  2 Al 2.56
Al  0.5000  0.7553  0.7553  2 Pd 2.56, 2 Au 2.85

=====

Material: LaNd2Er3Te2Pd
Method: DFT, PBE
State: relaxed

The total energy comes out at -47.41 eV per cell. As for the space group: Amm2.

Lattice parameters (Å, degrees): 4.0806 8.5107 8.5107 120.41 90.00 90.00
Closest atoms and distances in Å follow each position.
Sites, in units of the cell vectors:
Nd  0.0000  0.5957  0.0002  4 Te 3.28, 1 Pd 3.44, 6 Er 3.61-3.65
Nd  0.0000  0.0002  0.5957  4 Te 3.28, 1 Pd 3.44, 6 Er 3.61-3.65
Er  0.5000  0.2397  0.9987  2 Pd 2.89
Er  0.5000  0.9987  0.2397  2 Pd 2.89
Er  0.5000  0.7594  0.7594  2 Pd 2.87
Te  0.5000  0.6691  0.3322  3 Er 3.27-3.31, 4 Nd 3.28, 2 La 3.32
Te  0.5000  0.3322  0.6691  3 Er 3.27-3.31, 4 Nd 3.28, 2 La 3.32
La  0.0000  0.4063  0.4063  4 Te 3.32, 1 Pd 3.45, 6 Er 3.62-3.64
Pd  0.0000  0.9988  0.9988  6 Er 2.87-2.89

=====

Material: Rb2TlPdCl6
Method: DFT, PBE
State: relaxed

The total energy comes out at -32.25 eV per cell. As for the space group: C2/m.

Lattice parameters (Å, degrees): 7.4199 7.4199 7.5256 120.13 120.13 59.72
Closest atoms and distances in Å follow each position.
Sites, in units of the cell vectors:
Rb  0.2480  0.2480  0.2440  7 Cl 3.40-3.72
Rb  0.7520  0.7520  0.7560  7 Cl 3.40-3.72
Cl  0.7294  0.7294  0.2826  1 Pd 2.44
Cl  0.7618  0.2938  0.7987  1 Pd 2.46
Cl  0.7062  0.2382  0.2013  1 Pd 2.46
Cl  0.2382  0.7062  0.2013  1 Pd 2.46
Cl  0.2706  0.2706  0.7174  1 Pd 2.44
Cl  0.2938  0.7618  0.7987  1 Pd 2.46
Tl  0.0000  0.0000  0.5000  6 Cl 2.85-2.86
Pd  0.5000  0.5000  0.0000  6 Cl 2.44-2.46

=====

Material: TcP4W2
Method: DFT, PBE
State: relaxed

The total energy comes out at -53.31 eV per cell. As for the space group: I4/mmm.

Lattice parameters (Å, degrees): 5.6324 5.6324 5.6324 104.88 104.88 119.10
Closest atoms and distances in Å follow each position.
Sites, in units of the cell vectors:
W  0.7500  0.2500  0.5000  4 P 2.34
W  0.2500  0.7500  0.5000  4 P 2.34
Tc  0.0000  0.0000  0.0000  8 P 3.26
P  0.5000  0.7299  0.2299  2 P 2.23, 2 W 2.34
P  0.5000  0.2701  0.7701  2 P 2.23, 2 W 2.34
P  0.7299  0.5000  0.2299  2 P 2.23, 2 W 2.34
P  0.2701  0.5000  0.7701  2 P 2.23, 2 W 2.34

=====

Material: Tb2Re2O5
Method: DFT, PBE
State: relaxed

The calculation puts the offset from the most stable computed form at 430 meV/atom. As for the space group: P4/mmm.

Lattice parameters (Å, degrees): 9.5081 3.5170 3.5170 90.00 90.00 90.00
Closest atoms and distances in Å follow each position.
Sites, in units of the cell vectors:
O  0.8797  0.5000  0.0000  2 Re 2.10, 2 Tb 2.23, 1 O 2.29
O  0.1203  0.5000  0.0000  2 Re 2.10, 2 Tb 2.23, 1 O 2.29
O  0.1203  0.0000  0.5000  2 Re 2.10, 2 Tb 2.23, 1 O 2.29
O  0.8797  0.0000  0.5000  2 Re 2.10, 2 Tb 2.23, 1 O 2.29
O  0.5000  0.5000  0.5000  2 Tb 2.23, 4 Re 2.49
Re  0.5000  0.0000  0.0000  4 O 2.49
Re  0.0000  0.0000  0.0000  8 O 2.10
Tb  0.2651  0.5000  0.5000  5 O 2.23
Tb  0.7349  0.5000  0.5000  5 O 2.23

=====

Material: Hf3Zr4
Method: DFT, PBE
State: relaxed

For the formation energy, the calculation gives 0.00 eV/atom. As for the space group: P6_3/m.

Lattice parameters (Å, degrees): 8.5034 8.5034 5.1254 90.00 90.00 60.00
Closest atoms and distances in Å follow each position.
Sites, in units of the cell vectors:
Zr  0.0013  0.9970  0.0000  5 Hf 3.17-3.25, 7 Zr 3.17-3.24
Zr  0.7160  0.4298  0.0000  5 Hf 3.17-3.25, 7 Zr 3.17-3.24
Zr  0.5225  0.3840  0.5000  5 Hf 3.17-3.25, 7 Zr 3.17-3.24
Zr  0.9554  0.2363  0.5000  5 Hf 3.17-3.25, 7 Zr 3.17-3.24
Zr  0.5684  0.1446  0.0000  5 Hf 3.17-3.25, 7 Zr 3.17-3.24
Zr  0.4286  0.8571  0.0000  9 Hf 3.16-3.22, 3 Zr 3.21
Zr  0.8078  0.9511  0.5000  5 Hf 3.17-3.25, 7 Zr 3.17-3.24
Zr  0.0952  0.5238  0.5000  9 Hf 3.16-3.22, 3 Zr 3.21
Hf  0.3792  0.0943  0.5000  4 Hf 3.16-3.19, 8 Zr 3.16-3.25
Hf  0.2830  0.5731  0.0000  4 Hf 3.16-3.19, 8 Zr 3.16-3.25
Hf  0.6657  0.6693  0.5000  4 Hf 3.16-3.19, 8 Zr 3.16-3.25
Hf  0.8581  0.7116  0.0000  4 Hf 3.16-3.19, 8 Zr 3.16-3.25
Hf  0.2407  0.8078  0.5000  4 Hf 3.16-3.19, 8 Zr 3.16-3.25
Hf  0.1446  0.2866  0.0000  4 Hf 3.16-3.19, 8 Zr 3.16-3.25